(w)
Below is a relaxed Nb3ICl crystal, with properties calculated at the PBE-GGA level.

abc: 4.6826 4.6826 4.6826
angles: 90.00 90.00 90.00
Atoms (fractional coordinates):
1 Nb 0.0000 0.0000 0.5000
2 Nb 0.0000 0.5000 0.0000
3 Nb 0.5000 0.0000 0.0000
4 I 0.5000 0.5000 0.5000
5 Cl 0.0000 0.0000 0.0000

(x)
Below is a relaxed Nb3ICl crystal, with properties calculated at the PBE-GGA level.

abc: 5.0997 5.0997 5.0997
angles: 90.00 90.00 90.00
Atoms (fractional coordinates):
1 Nb 0.0000 0.0000 0.5000
2 Nb 0.0000 0.5000 0.0000
3 Nb 0.5000 0.0000 0.0000
4 I 0.0000 0.0000 0.0000
5 Cl 0.5000 0.5000 0.5000

Tell me which of them is the least stable. Sure, it is (x).

(w)
Below is a relaxed NbICl2 crystal, with properties calculated at the PBE-GGA level.

abc: 5.0488 5.0488 5.0488
angles: 60.00 60.00 60.00
Atoms (fractional coordinates):
1 Nb 0.0000 0.0000 0.0000
2 I 0.5000 0.5000 0.5000
3 Cl 0.2500 0.2500 0.2500
4 Cl 0.7500 0.7500 0.7500

(x)
Below is a relaxed NbICl2 crystal, with properties calculated at the PBE-GGA level.

abc: 12.2294 12.2294 12.2294
angles: 15.40 15.40 15.40
Atoms (fractional coordinates):
1 Nb 0.0000 0.0000 0.0000
2 I 0.5000 0.5000 0.5000
3 Cl 0.3810 0.3810 0.3810
4 Cl 0.6190 0.6190 0.6190

(y)
Below is a relaxed NbICl2 crystal, with properties calculated at the PBE-GGA level.

abc: 6.0750 6.7073 12.4661
angles: 90.00 115.38 90.00
Atoms (fractional coordinates):
1 Nb 0.1314 0.0021 0.4358
2 Nb 0.1314 0.4979 0.9358
3 Nb 0.8686 0.5021 0.0642
4 Nb 0.8686 0.9979 0.5642
5 I 0.1750 0.2361 0.2403
6 I 0.1750 0.2639 0.7403
7 I 0.8250 0.7361 0.2597
8 I 0.8250 0.7639 0.7597
9 Cl 0.1718 0.7497 0.0847
10 Cl 0.1718 0.7503 0.5847
11 Cl 0.4962 0.1920 0.5737
12 Cl 0.4962 0.3080 0.0737
13 Cl 0.5038 0.6920 0.9263
14 Cl 0.5038 0.8080 0.4263
15 Cl 0.8282 0.2497 0.4153
16 Cl 0.8282 0.2503 0.9153

(z)
Below is a relaxed NbICl2 crystal, with properties calculated at the PBE-GGA level.

abc: 6.9314 6.9314 6.9314
angles: 100.26 100.26 130.08
Atoms (fractional coordinates):
1 Nb 0.0000 0.0000 0.0000
2 Nb 0.7500 0.2500 0.5000
3 I 0.2500 0.7500 0.5000
4 I 0.5000 0.5000 0.0000
5 Cl 0.3750 0.2342 0.3592
6 Cl 0.7658 0.1250 0.1408
7 Cl 0.8750 0.0158 0.6408
8 Cl 0.9842 0.6250 0.8592

Tell me which of them is the least stable. Sure, it is (w).

(w)
Below is a relaxed NbI4Cl crystal, with properties calculated at the PBE-GGA level.

abc: 9.2700 9.2700 7.5375
angles: 102.41 102.41 56.30
Atoms (fractional coordinates):
1 Nb 0.0212 0.0212 0.2055
2 Nb 0.9788 0.9788 0.7945
3 I 0.0998 0.6951 0.0087
4 I 0.1956 0.1956 0.3840
5 I 0.2062 0.7938 0.5000
6 I 0.3049 0.9002 0.9913
7 I 0.6951 0.0998 0.0087
8 I 0.7938 0.2062 0.5000
9 I 0.8044 0.8044 0.6160
10 I 0.9002 0.3049 0.9913
11 Cl 0.2545 0.2545 0.7335
12 Cl 0.7455 0.7455 0.2665

(x)
Below is a relaxed NbI4Cl crystal, with properties calculated at the PBE-GGA level.

abc: 9.2190 6.4604 8.0363
angles: 90.00 98.51 90.00
Atoms (fractional coordinates):
1 Nb 0.0000 0.0000 0.0000
2 Nb 0.0000 0.5000 0.5000
3 I 0.1385 0.2436 0.7694
4 I 0.1385 0.2564 0.2694
5 I 0.2422 0.7350 0.5435
6 I 0.2422 0.7650 0.0435
7 I 0.7578 0.2350 0.9565
8 I 0.7578 0.2650 0.4565
9 I 0.8615 0.7436 0.7306
10 I 0.8615 0.7564 0.2306
11 Cl 0.5000 0.0000 0.0000
12 Cl 0.5000 0.5000 0.5000

Tell me which of them is the least stable. Sure, it is (x).

(w)
Below is a relaxed Nb2ICl2 crystal, with properties calculated at the PBE-GGA level.

abc: 8.8604 8.8604 8.8604
angles: 154.51 154.51 36.36
Atoms (fractional coordinates):
1 Nb 0.2500 0.7500 0.5000
2 Nb 0.7500 0.2500 0.5000
3 I 0.0000 0.0000 0.0000
4 Cl 0.3502 0.3502 0.0000
5 Cl 0.6498 0.6498 0.0000

(x)
Below is a relaxed Nb2ICl2 crystal, with properties calculated at the PBE-GGA level.

abc: 9.5508 9.5508 3.1443
angles: 90.00 90.00 90.00
Atoms (fractional coordinates):
1 Nb 0.0832 0.4168 0.0000
2 Nb 0.4168 0.9168 0.0000
3 Nb 0.5832 0.0832 0.0000
4 Nb 0.9168 0.5832 0.0000
5 I 0.0000 0.0000 0.5000
6 I 0.5000 0.5000 0.5000
7 Cl 0.1427 0.6427 0.5000
8 Cl 0.3573 0.1427 0.5000
9 Cl 0.6427 0.8573 0.5000
10 Cl 0.8573 0.3573 0.5000

Tell me which of them is the least stable. Sure, it is (x).

(w)
Below is a relaxed NbI2Cl crystal, with properties calculated at the PBE-GGA level.

abc: 5.1873 5.1873 5.1873
angles: 60.00 60.00 60.00
Atoms (fractional coordinates):
1 Nb 0.0000 0.0000 0.0000
2 I 0.2500 0.2500 0.2500
3 I 0.7500 0.7500 0.7500
4 Cl 0.5000 0.5000 0.5000

(x)
Below is a relaxed NbI2Cl crystal, with properties calculated at the PBE-GGA level.

abc: 3.4915 7.1063 7.6444
angles: 112.16 100.41 103.40
Atoms (fractional coordinates):
1 Nb 0.0000 0.0000 0.0000
2 I 0.2461 0.6964 0.7203
3 I 0.5946 0.9652 0.2808
4 Cl 0.6263 0.2681 0.9992

Tell me which of them is the least stable. Sure, it is (w).

(w)
Below is a relaxed NbSICl2 crystal, with properties calculated at the PBE-GGA level.

abc: 4.9515 4.9515 4.8985
angles: 90.00 90.00 90.00
Atoms (fractional coordinates):
1 Nb 0.0000 0.0000 0.0000
2 S 0.0000 0.0000 0.5000
3 I 0.5000 0.5000 0.5000
4 Cl 0.0000 0.5000 0.0000
5 Cl 0.5000 0.0000 0.0000

(x)
Below is a relaxed NbSICl2 crystal, with properties calculated at the PBE-GGA level.

abc: 5.4164 5.4164 5.2402
angles: 90.00 90.00 90.00
Atoms (fractional coordinates):
1 Nb 0.0000 0.0000 0.0000
2 S 0.5000 0.5000 0.0000
3 I 0.5000 0.5000 0.5000
4 Cl 0.0000 0.5000 0.5000
5 Cl 0.5000 0.0000 0.5000

(y)
Below is a relaxed NbSICl2 crystal, with properties calculated at the PBE-GGA level.

abc: 4.7177 4.7177 5.7852
angles: 90.00 90.00 90.00
Atoms (fractional coordinates):
1 Nb 0.0000 0.0000 0.0000
2 S 0.5000 0.5000 0.5000
3 I 0.0000 0.0000 0.5000
4 Cl 0.0000 0.5000 0.0000
5 Cl 0.5000 0.0000 0.0000

Tell me which of them is the least stable. Sure, it is (x).